Record 1
The following is a GGA-PBE calculation of a relaxed Rb2BaPrF8 crystal, from Alexandria.

a = 6.3376 Å, b = 6.3376 Å, c = 12.2219 Å
α = 90.00°, β = 90.00°, γ = 90.00°
Closest atoms and distances in Å follow each position.
Space group I-4m2 (No. 119)
Symmetry-distinct sites (fractional):
Rb 0.0000 0.0000 0.0000 [2 per cell]  8 F 2.87
Rb 0.0000 0.5000 0.2500 [2 per cell]  8 F 2.89
Ba 0.0000 0.0000 0.5000 [2 per cell]  8 F 2.71
Pr 0.0000 0.5000 0.7500 [2 per cell]  8 F 2.43
F 0.2081 0.2700 0.6338 [16 per cell]  1 Pr 2.43, 1 F 2.64, 1 Ba 2.71

Calculated total energy (eV per atom): -5.209
E_form (uncorrected) (eV/atom): -3.241
DOS(E_F) (states/eV per atom): 1.365



Record 2
The following is a GGA-PBE calculation of a relaxed BaPrS2F crystal, from Alexandria.

a = 4.1936 Å, b = 4.1936 Å, c = 14.8182 Å
α = 90.00°, β = 90.00°, γ = 90.00°
Closest atoms and distances in Å follow each position.
Space group P4/nmm (No. 129, origin choice 2)
Symmetry-distinct sites (fractional):
Ba 0.2500 0.2500 0.1099 [2 per cell]  4 F 2.65
Pr 0.2500 0.2500 0.6188 [2 per cell]  1 S 2.59
S 0.2500 0.2500 0.4087 [2 per cell]  5 Pr 2.99-3.11
S 0.2500 0.2500 0.7938 [2 per cell]  1 Pr 2.59
F 0.2500 0.7500 0.0000 [2 per cell]  4 Ba 2.65, 4 F 2.97

Calculated total energy (eV per atom): -5.908
E_form (uncorrected) (eV/atom): -2.542
DOS(E_F) (states/eV per atom): 0.033



Record 3
The following is a GGA-PBE calculation of a relaxed BaPrSe2F crystal, from Alexandria.

a = 4.3288 Å, b = 4.3288 Å, c = 15.2644 Å
α = 90.00°, β = 90.00°, γ = 90.00°
Closest atoms and distances in Å follow each position.
Space group P4/nmm (No. 129, origin choice 2)
Symmetry-distinct sites (fractional):
Ba 0.2500 0.2500 0.1031 [2 per cell]  4 F 2.68
Pr 0.2500 0.2500 0.6200 [2 per cell]  1 Se 2.72
Se 0.2500 0.2500 0.4082 [2 per cell]  5 Pr 3.09-3.23
Se 0.2500 0.2500 0.7984 [2 per cell]  1 Pr 2.72
F 0.2500 0.7500 0.0000 [2 per cell]  4 Ba 2.68

Calculated total energy (eV per atom): -5.576
E_form (uncorrected) (eV/atom): -2.468
DOS(E_F) (states/eV per atom): 0.287



Record 4
The following is a GGA-PBE calculation of a relaxed BaPtF3 crystal, from Alexandria.

a = 4.5455 Å, b = 4.5455 Å, c = 4.5455 Å
α = 90.00°, β = 90.00°, γ = 90.00°
Closest atoms and distances in Å follow each position.
Space group Pm-3m (No. 221)
Symmetry-distinct sites (fractional):
Ba 0.0000 0.0000 0.0000 [1 per cell]  12 F 3.21
Pt 0.5000 0.5000 0.5000 [1 per cell]  6 F 2.27
F 0.0000 0.5000 0.5000 [3 per cell]  2 Pt 2.27

Calculated total energy (eV per atom): -4.576
E_form (uncorrected) (eV/atom): -1.860
DOS(E_F) (states/eV per atom): 0.327
ΔE to the lowest computed polymorph (eV/atom): 0.000



Record 5
The following is a GGA-PBE calculation of a relaxed Ba2PtF6 crystal, from Alexandria.

a = 5.6562 Å, b = 5.6562 Å, c = 11.9538 Å
α = 90.00°, β = 90.00°, γ = 90.00°
Closest atoms and distances in Å follow each position.
Space group P4_2/mnm (No. 136)
Symmetry-distinct sites (fractional):
Ba 0.0000 0.0000 0.1637 [4 per cell]  6 F 2.59-2.63
Pt 0.0000 0.0000 0.5000 [2 per cell]  6 F 2.24-2.30
F 0.1770 0.1770 0.3486 [8 per cell]  1 Pt 2.30
F 0.2200 0.2200 0.0000 [4 per cell]  1 Pt 2.24

Calculated total energy (eV per atom): -5.055
E_form (uncorrected) (eV/atom): -2.709



Record 6
The following is a GGA-PBE calculation of a relaxed Ba4PtF5 crystal, from Alexandria.

a = 16.8680 Å, b = 4.3572 Å, c = 7.9155 Å
α = 90.00°, β = 117.87°, γ = 90.00°
Closest atoms and distances in Å follow each position.
Space group C2/m (No. 12)
Symmetry-distinct sites (fractional):
Ba 0.0005 0.0000 0.2298 [4 per cell]  4 F 2.72-2.84
Ba 0.2113 0.5000 0.7117 [4 per cell]  6 F 2.76-2.82
Pt 0.0000 0.5000 0.5000 [2 per cell]  6 Ba 3.06-3.15
F 0.0000 0.5000 0.0000 [2 per cell]  4 Ba 2.84
F 0.1798 0.0000 0.8980 [4 per cell]  4 Ba 2.72-2.82
F 0.1806 0.0000 0.4644 [4 per cell]  4 Ba 2.72-2.81

Calculated total energy (eV per atom): -5.210
E_form (uncorrected) (eV/atom): -2.901
DOS(E_F) (states/eV per atom): 0.438



Record 7
The following is a GGA-PBE calculation of a relaxed Ba3PtF12 crystal, from Alexandria.

a = 7.4334 Å, b = 12.2909 Å, c = 7.6066 Å
α = 90.00°, β = 102.41°, γ = 90.00°
Closest atoms and distances in Å follow each position.
Space group C2/m (No. 12)
Symmetry-distinct sites (fractional):
Ba 0.0000 0.0000 0.0000 [2 per cell]  4 F 2.73
Ba 0.2500 0.2500 0.5000 [4 per cell]  6 F 2.59-2.81
Pt 0.0000 0.0000 0.5000 [2 per cell]  4 F 2.00
F 0.0213 0.1110 0.6950 [8 per cell]  1 Pt 2.00
F 0.0459 0.3551 0.6789 [8 per cell]  1 F 2.05
F 0.1978 0.2854 0.9086 [8 per cell]  1 F 1.68

Calculated total energy (eV per atom): -4.343
E_form (uncorrected) (eV/atom): -2.201



Record 8
The following is a GGA-PBE calculation of a relaxed Ba4PtF crystal, from Alexandria.

a = 10.6885 Å, b = 10.9712 Å, c = 9.3802 Å
α = 90.00°, β = 90.00°, γ = 90.00°
Closest atoms and distances in Å follow each position.
Space group Cmcm (No. 63)
Symmetry-distinct sites (fractional):
Ba 0.0000 0.1972 0.0150 [8 per cell]  1 F 2.78
Ba 0.2065 0.4867 0.2500 [8 per cell]  1 F 2.66
Pt 0.0000 0.0099 0.7500 [4 per cell]  6 Ba 3.14-3.23
F 0.0000 0.3515 0.2500 [4 per cell]  4 Ba 2.66-2.78

Calculated total energy (eV per atom): -3.855
E_form (uncorrected) (eV/atom): -1.254
DOS(E_F) (states/eV per atom): 0.628



Record 9
The following is a GGA-PBE calculation of a relaxed Ba4Pt2F crystal, from Alexandria.

a = 5.3060 Å, b = 5.3060 Å, c = 16.6316 Å
α = 90.00°, β = 90.00°, γ = 90.00°
Closest atoms and distances in Å follow each position.
Space group I4/mmm (No. 139)
Symmetry-distinct sites (fractional):
Ba 0.0000 0.0000 0.1918 [4 per cell]  1 Pt 3.07, 1 F 3.19
Ba 0.0000 0.5000 0.0000 [4 per cell]  2 F 2.65
Pt 0.0000 0.0000 0.3766 [4 per cell]  5 Ba 3.07-3.35
F 0.0000 0.0000 0.0000 [2 per cell]  4 Ba 2.65

Calculated total energy (eV per atom): -4.275
E_form (uncorrected) (eV/atom): -1.183
DOS(E_F) (states/eV per atom): 0.657



Record 10
The following is a GGA-PBE calculation of a relaxed BaPtF3 crystal, from Alexandria.

a = 5.0603 Å, b = 5.0603 Å, c = 5.0603 Å
α = 90.00°, β = 90.00°, γ = 90.00°
Closest atoms and distances in Å follow each position.
Space group Pm-3m (No. 221)
Symmetry-distinct sites (fractional):
Ba 0.0000 0.0000 0.0000 [1 per cell]  6 F 2.53
Pt 0.5000 0.5000 0.5000 [1 per cell]  12 F 3.58
F 0.0000 0.0000 0.5000 [3 per cell]  2 Ba 2.53

Calculated total energy (eV per atom): -4.168
E_form (uncorrected) (eV/atom): -1.452
DOS(E_F) (states/eV per atom): 2.005
ΔE to the lowest computed polymorph (eV/atom): 0.408



Record 11
The following is a GGA-PBE calculation of a relaxed Ba3PtF crystal, from Alexandria.

a = 5.4034 Å, b = 5.4034 Å, c = 5.4034 Å
α = 90.00°, β = 90.00°, γ = 90.00°
Closest atoms and distances in Å follow each position.
Space group Pm-3m (No. 221)
Symmetry-distinct sites (fractional):
Ba 0.0000 0.0000 0.5000 [3 per cell]  2 F 2.70
Pt 0.5000 0.5000 0.5000 [1 per cell]  12 Ba 3.82
F 0.0000 0.0000 0.0000 [1 per cell]  6 Ba 2.70

Calculated total energy (eV per atom): -3.841
E_form (uncorrected) (eV/atom): -1.105
DOS(E_F) (states/eV per atom): 1.401
ΔE to the lowest computed polymorph (eV/atom): 0.000



Record 12
The following is a GGA-PBE calculation of a relaxed Rb2BaPtF6 crystal, from Alexandria.

a = 6.7526 Å, b = 6.7526 Å, c = 9.5377 Å
α = 90.00°, β = 90.00°, γ = 90.00°
Closest atoms and distances in Å follow each position.
Space group I4/mmm (No. 139)
Symmetry-distinct sites (fractional):
Rb 0.0000 0.5000 0.2500 [4 per cell]  12 F 3.38
Ba 0.0000 0.0000 0.0000 [2 per cell]  6 F 2.53
Pt 0.0000 0.0000 0.5000 [2 per cell]  6 F 2.24-2.25
F 0.0000 0.0000 0.2651 [4 per cell]  1 Pt 2.24
F 0.2351 0.2351 0.5000 [8 per cell]  1 Pt 2.25

Calculated total energy (eV per atom): -4.507
E_form (uncorrected) (eV/atom): -2.395
DOS(E_F) (states/eV per atom): 0.000



Record 13
The following is a GGA-PBE calculation of a relaxed Rb2BaPtF8 crystal, from Alexandria.

a = 5.6834 Å, b = 5.6834 Å, c = 7.8972 Å
α = 90.00°, β = 90.00°, γ = 120.00°
Closest atoms and distances in Å follow each position.
Space group P-3m1 (No. 164)
Symmetry-distinct sites (fractional):
Rb 0.3333 0.6667 0.3243 [2 per cell]  7 F 2.56-2.85
Ba 0.0000 0.0000 0.0000 [1 per cell]  12 F 3.09-3.28
Pt 0.0000 0.0000 0.5000 [1 per cell]  6 F 1.98
F 0.1548 0.3096 0.6591 [6 per cell]  1 Pt 1.98
F 0.3333 0.6667 0.9997 [2 per cell]  1 Rb 2.56

Calculated total energy (eV per atom): -4.436
E_form (uncorrected) (eV/atom): -2.364



Record 14
The following is a GGA-PBE calculation of a relaxed RbBa2PtF8 crystal, from Alexandria.

a = 5.7300 Å, b = 5.7300 Å, c = 8.5709 Å
α = 90.00°, β = 90.00°, γ = 120.00°
Closest atoms and distances in Å follow each position.
Space group P-3m1 (No. 164)
Symmetry-distinct sites (fractional):
Rb 0.0000 0.0000 0.0000 [1 per cell]  12 F 3.34-3.48
Ba 0.3333 0.6667 0.3266 [2 per cell]  1 F 2.34
Pt 0.0000 0.0000 0.5000 [1 per cell]  6 F 2.08
F 0.1686 0.3372 0.6438 [6 per cell]  1 Pt 2.08
F 0.3333 0.6667 0.0535 [2 per cell]  1 Ba 2.34

Calculated total energy (eV per atom): -4.797
E_form (uncorrected) (eV/atom): -2.645
DOS(E_F) (states/eV per atom): 0.409



Record 15
The following is a GGA-PBE calculation of a relaxed BaPtSeF2 crystal, from Alexandria.

a = 4.6338 Å, b = 4.6338 Å, c = 7.4828 Å
α = 90.00°, β = 90.00°, γ = 90.00°
Closest atoms and distances in Å follow each position.
Space group P4/mmm (No. 123)
Symmetry-distinct sites (fractional):
Ba 0.0000 0.0000 0.0000 [1 per cell]  4 F 2.32
Pt 0.5000 0.5000 0.5000 [1 per cell]  4 Se 3.28
Se 0.0000 0.0000 0.5000 [1 per cell]  4 Pt 3.28
F 0.0000 0.5000 0.0000 [2 per cell]  2 Ba 2.32

Calculated total energy (eV per atom): -4.096
E_form (uncorrected) (eV/atom): -1.058
DOS(E_F) (states/eV per atom): 1.597



Record 16
The following is a GGA-PBE calculation of a relaxed BaTcPtF2 crystal, from Alexandria.

a = 4.4443 Å, b = 4.4443 Å, c = 4.9638 Å
α = 90.00°, β = 90.00°, γ = 90.00°
Closest atoms and distances in Å follow each position.
Space group P4/mmm (No. 123)
Symmetry-distinct sites (fractional):
Ba 0.0000 0.0000 0.0000 [1 per cell]  4 Pt 3.14, 8 F 3.33
Tc 0.5000 0.5000 0.5000 [1 per cell]  4 F 2.22, 2 Pt 2.48
Pt 0.5000 0.5000 0.0000 [1 per cell]  2 Tc 2.48
F 0.0000 0.5000 0.5000 [2 per cell]  2 Tc 2.22

Calculated total energy (eV per atom): -5.591
E_form (uncorrected) (eV/atom): -1.177
DOS(E_F) (states/eV per atom): 0.600



Record 17
The following is a GGA-PBE calculation of a relaxed BaYPtF2 crystal, from Alexandria.

a = 4.6207 Å, b = 4.6207 Å, c = 10.3465 Å
α = 90.00°, β = 90.00°, γ = 90.00°
Closest atoms and distances in Å follow each position.
Space group P4/mmm (No. 123)
Symmetry-distinct sites (fractional):
Ba 0.0000 0.0000 0.0000 [1 per cell]  4 F 2.31
Y 0.0000 0.0000 0.5000 [1 per cell]  4 Pt 3.27
Pt 0.5000 0.5000 0.5000 [1 per cell]  4 Y 3.27
F 0.0000 0.5000 0.0000 [2 per cell]  2 Ba 2.31

Calculated total energy (eV per atom): -5.213
E_form (uncorrected) (eV/atom): -1.579
DOS(E_F) (states/eV per atom): 0.315



Record 18
The following is a GGA-PBE calculation of a relaxed BaPuF4 crystal, from Alexandria.

a = 4.2596 Å, b = 4.2596 Å, c = 6.1566 Å
α = 90.00°, β = 90.00°, γ = 90.00°
Closest atoms and distances in Å follow each position.
Space group P4/mmm (No. 123)
Symmetry-distinct sites (fractional):
Ba 0.0000 0.0000 0.0000 [1 per cell]  8 F 2.73
Pu 0.5000 0.5000 0.5000 [1 per cell]  8 F 2.54
F 0.0000 0.5000 0.2761 [4 per cell]  2 Pu 2.54, 2 Ba 2.73, 1 F 2.76

Calculated total energy (eV per atom): -7.437
E_form (uncorrected) (eV/atom): -3.480
DOS(E_F) (states/eV per atom): 1.101



Record 19
The following is a GGA-PBE calculation of a relaxed Ba2PuF8 crystal, from Alexandria.

a = 16.1309 Å, b = 4.2386 Å, c = 5.6104 Å
α = 90.00°, β = 108.27°, γ = 90.00°
Closest atoms and distances in Å follow each position.
Space group C2/m (No. 12)
Symmetry-distinct sites (fractional):
Ba 0.1705 0.0000 0.1746 [4 per cell]  8 F 2.65-2.83
Pu 0.0000 0.5000 0.5000 [2 per cell]  4 F 2.17
F 0.0134 0.0000 0.2977 [4 per cell]  5 F 2.44-2.71, 2 Pu 2.45
F 0.0893 0.5000 0.8805 [4 per cell]  1 Pu 2.17
F 0.1235 0.5000 0.4206 [4 per cell]  1 Pu 2.17
F 0.2265 0.0000 0.7620 [4 per cell]  3 Ba 2.65-2.74, 1 F 2.91

Calculated total energy (eV per atom): -6.704
E_form (uncorrected) (eV/atom): -3.690
DOS(E_F) (states/eV per atom): 0.674



Record 20
The following is a GGA-PBE calculation of a relaxed Ba2PuF6 crystal, from Alexandria.

a = 4.3199 Å, b = 6.1670 Å, c = 13.0283 Å
α = 90.00°, β = 90.00°, γ = 90.00°
Closest atoms and distances in Å follow each position.
Space group Immm (No. 71)
Symmetry-distinct sites (fractional):
Ba 0.0000 0.0000 0.1626 [4 per cell]  8 F 2.71-2.72
Pu 0.0000 0.0000 0.5000 [2 per cell]  8 F 2.55-2.57
F 0.0000 0.2358 0.3390 [8 per cell]  1 Pu 2.55, 3 Ba 2.71-2.72
F 0.0000 0.2752 0.0000 [4 per cell]  2 Pu 2.57, 2 Ba 2.71, 1 F 2.77

Calculated total energy (eV per atom): -6.874
E_form (uncorrected) (eV/atom): -3.607
DOS(E_F) (states/eV per atom): 0.772